PrNi3Ge4: optimized geometry, PBE.

Output
E_tot ... -42.41 eV per cell

a b c (Å): 5.5551 3.8640 6.4618
angles (deg): 90.00 97.15 90.00
Space group Pm (No. 6)
Unique sites:
Pr: 0.0000 0.0000 0.0000 (multiplicity 1)
Ni: 0.2261 0.0000 0.5107 (multiplicity 1)
Ni: 0.5252 0.5000 0.0278 (multiplicity 1)
Ni: 0.5894 0.5000 0.6241 (multiplicity 1)
Ge: 0.0310 0.5000 0.6375 (multiplicity 1)
Ge: 0.2872 0.5000 0.3057 (multiplicity 1)
Ge: 0.4841 0.0000 0.8225 (multiplicity 1)
Ge: 0.6754 0.0000 0.3772 (multiplicity 1)